VASP calculation (SCAN) on LiIrS2Cl at its PBEsol-relaxed geometry.

Raw total energy, eV/cell: -101.40
Crystal system: tetragonal
E_form (uncorrected), kJ/mol of atoms: -13

a b c (Å): 4.526 4.526 5.185
angles (deg): 90.00 90.00 90.00
Space group P4/mmm (No. 123)
Symmetry-distinct sites (fractional):
Li 0.000 0.000 0.000 [1 per cell]
Ir 0.500 0.500 0.500 [1 per cell]
S 0.000 0.500 0.500 [2 per cell]
Cl 0.500 0.500 0.000 [1 per cell]

---

VASP calculation (SCAN) on Li2IrSeCl at its PBEsol-relaxed geometry.

Raw total energy, eV/cell: -105.19
Crystal system: tetragonal
E_form (uncorrected), kJ/mol of atoms: -24

a b c (Å): 4.189 4.189 4.666
angles (deg): 90.00 90.00 90.00
Space group P4/mmm (No. 123)
Symmetry-distinct sites (fractional):
Li 0.000 0.500 0.000 [2 per cell]
Ir 0.000 0.000 0.500 [1 per cell]
Se 0.500 0.500 0.500 [1 per cell]
Cl 0.000 0.000 0.000 [1 per cell]

---

VASP calculation (SCAN) on MgIr2Cl at its PBEsol-relaxed geometry.

Raw total energy, eV/cell: -153.13
Crystal system: orthorhombic
E_form (uncorrected), kJ/mol of atoms: 49
E above lowest polymorph, eV per formula unit: 1.32

a b c (Å): 2.821 4.313 5.143
angles (deg): 90.00 90.00 90.00
Space group Pmmm (No. 47)
Symmetry-distinct sites (fractional):
Mg 0.000 0.000 0.000 [1 per cell]
Ir 0.500 0.500 0.243 [2 per cell]
Cl 0.000 0.000 0.500 [1 per cell]

---

VASP calculation (SCAN) on MgIr2Cl at its PBEsol-relaxed geometry.

Raw total energy, eV/cell: -308.88
Crystal system: tetragonal
E_form (uncorrected), kJ/mol of atoms: 17
E above lowest polymorph, eV per formula unit: 0.01

a b c (Å): 3.524 3.524 11.487
angles (deg): 90.00 90.00 90.00
Space group I4/mmm (No. 139)
Symmetry-distinct sites (fractional):
Mg 0.000 0.000 0.000 [2 per cell]
Ir 0.000 0.500 0.250 [4 per cell]
Cl 0.000 0.000 0.500 [2 per cell]

---

VASP calculation (SCAN) on MgIrCl2 at its PBEsol-relaxed geometry.

Raw total energy, eV/cell: -186.56
Crystal system: monoclinic
E_form (uncorrected), kJ/mol of atoms: -30
E above lowest polymorph, eV per formula unit: 0.04

a b c (Å): 14.118 3.015 3.857
angles (deg): 90.00 105.73 90.00
Space group Cm (No. 8)
Symmetry-distinct sites (fractional):
Mg 0.000 0.000 0.000 [2 per cell]
Ir 0.341 0.000 0.844 [2 per cell]
Cl 0.082 0.500 0.584 [2 per cell]
Cl 0.321 0.500 0.325 [2 per cell]

---

VASP calculation (SCAN) on MgIrCl2 at its PBEsol-relaxed geometry.

Raw total energy, eV/cell: -186.64
Crystal system: orthorhombic
E_form (uncorrected), kJ/mol of atoms: -31
E above lowest polymorph, eV per formula unit: 0.00

a b c (Å): 3.236 5.484 8.749
angles (deg): 90.00 90.00 90.00
Space group Cmm2 (No. 35)
Symmetry-distinct sites (fractional):
Mg 0.000 0.000 0.000 [2 per cell]
Ir 0.000 0.500 0.254 [2 per cell]
Cl 0.000 0.000 0.441 [2 per cell]
Cl 0.000 0.500 0.808 [2 per cell]

---

VASP calculation (SCAN) on MgIrCl2 at its PBEsol-relaxed geometry.

Raw total energy, eV/cell: -184.51
Crystal system: orthorhombic
E_form (uncorrected), kJ/mol of atoms: -5
E above lowest polymorph, eV per formula unit: 1.06

a b c (Å): 3.289 5.027 10.143
angles (deg): 90.00 90.00 90.00
Space group Cmmm (No. 65)
Symmetry-distinct sites (fractional):
Mg 0.000 0.000 0.000 [2 per cell]
Ir 0.000 0.000 0.500 [2 per cell]
Cl 0.000 0.500 0.162 [4 per cell]

---

VASP calculation (SCAN) on MgIrCl at its PBEsol-relaxed geometry.

Raw total energy, eV/cell: -337.98
Crystal system: orthorhombic
E_form (uncorrected), kJ/mol of atoms: -14

a b c (Å): 3.076 4.884 13.757
angles (deg): 90.00 90.00 90.00
Space group Fmm2 (No. 42)
Symmetry-distinct sites (fractional):
Mg 0.000 0.000 0.000 [4 per cell]
Ir 0.000 0.000 0.350 [4 per cell]
Cl 0.000 0.000 0.628 [4 per cell]